Ho3MgNi: relaxed, PBE-GGA.

Properties
Formation energy: -168 meV/atom

The structure in CIF format:
```
data_Ho3MgNi
_cell_length_a 8.463
_cell_length_b 3.743
_cell_length_c 9.032
_cell_angle_alpha 90.00
_cell_angle_beta 115.19
_cell_angle_gamma 90.00
_space_group_name_H-M_alt 'P 1 21/m 1'
_space_group_IT_number 11
loop_
_space_group_symop_operation_xyz
'x,y,z'
'-x,-y,-z'
'-x,y+1/2,-z'
'x,-y+1/2,z'
loop_
_atom_site_label
_atom_site_fract_x
_atom_site_fract_y
_atom_site_fract_z
_atom_site_occupancy
Ho1 0.011 0.250 0.171 1
Ho2 0.222 0.750 0.545 1
Ho3 0.366 0.750 0.221 1
Mg1 0.328 0.250 0.901 1
Ni1 0.389 0.250 0.441 1
```

---

La4PmDy2: relaxed, PBE-GGA.

Properties
Formation energy: 220 meV/atom

The structure in CIF format:
```
data_La4PmDy2
_cell_length_a 6.985
_cell_length_b 11.647
_cell_length_c 12.194
_cell_angle_alpha 90.00
_cell_angle_beta 90.00
_cell_angle_gamma 90.00
_space_group_name_H-M_alt 'I m m a'
_space_group_IT_number 74
_space_group_name_Hall '-I 2b 2'
loop_
_atom_site_label
_atom_site_fract_x
_atom_site_fract_y
_atom_site_fract_z
_atom_site_occupancy
La1 0.000 0.001 0.151 1
La2 0.218 0.250 0.007 1
Pm1 0.250 0.250 0.750 1
Dy1 0.000 0.000 0.500 1
Dy2 0.000 0.250 0.284 1
```

---

MgNi2Ag2: relaxed, PBE-GGA.

Properties
Formation energy: 140 meV/atom

The structure in CIF format:
```
data_MgNi2Ag2
_cell_length_a 6.485
_cell_length_b 6.485
_cell_length_c 3.746
_cell_angle_alpha 90.00
_cell_angle_beta 90.00
_cell_angle_gamma 90.00
_space_group_name_H-M_alt 'P 4/m b m'
_space_group_IT_number 127
_space_group_name_Hall '-P 4 2ab'
loop_
_atom_site_label
_atom_site_fract_x
_atom_site_fract_y
_atom_site_fract_z
_atom_site_occupancy
Mg1 0.000 0.000 0.000 1
Ni1 0.126 0.374 0.000 1
Ag1 0.170 0.670 0.500 1
```

---

LaNd7Hg2: relaxed, PBE-GGA.

Properties
Formation energy: 245 meV/atom

The structure in CIF format:
```
data_LaNd7Hg2
_cell_length_a 9.265
_cell_length_b 15.699
_cell_length_c 5.520
_cell_angle_alpha 90.00
_cell_angle_beta 90.00
_cell_angle_gamma 90.00
_space_group_name_H-M_alt 'C m m m'
_space_group_IT_number 65
_space_group_name_Hall '-C 2 2'
loop_
_atom_site_label
_atom_site_fract_x
_atom_site_fract_y
_atom_site_fract_z
_atom_site_occupancy
La1 0.000 0.000 0.000 1
Nd1 0.000 0.238 0.000 1
Nd2 0.000 0.500 0.500 1
Nd3 0.182 0.122 0.500 1
Hg1 0.000 0.306 0.500 1
```

---

Y2Sn3Hg3: relaxed, PBE-GGA.

Properties
Formation energy: -438 meV/atom

The structure in CIF format:
```
data_Y2Sn3Hg3
_cell_length_a 4.626
_cell_length_b 4.742
_cell_length_c 9.067
_cell_angle_alpha 90.00
_cell_angle_beta 90.00
_cell_angle_gamma 90.00
_space_group_name_H-M_alt 'P m m m'
_space_group_IT_number 47
loop_
_space_group_symop_operation_xyz
'x,y,z'
'-x,-y,-z'
'-x,-y,z'
'x,y,-z'
'x,-y,-z'
'-x,y,z'
'-x,y,-z'
'x,-y,z'
loop_
_atom_site_label
_atom_site_fract_x
_atom_site_fract_y
_atom_site_fract_z
_atom_site_occupancy
Y1 0.000 0.000 0.247 1
Sn1 0.000 0.500 0.000 1
Sn2 0.500 0.000 0.000 1
Sn3 0.500 0.000 0.500 1
Hg1 0.000 0.500 0.500 1
Hg2 0.500 0.500 0.255 1
```

---

AsOs2Rh: relaxed, PBE-GGA.

Properties
Formation energy: 669 meV/atom

The structure in CIF format:
```
data_AsOs2Rh
_cell_length_a 2.723
_cell_length_b 4.725
_cell_length_c 9.500
_cell_angle_alpha 90.00
_cell_angle_beta 90.00
_cell_angle_gamma 90.00
_space_group_name_H-M_alt 'C m m m'
_space_group_IT_number 65
_space_group_name_Hall '-C 2 2'
loop_
_atom_site_label
_atom_site_fract_x
_atom_site_fract_y
_atom_site_fract_z
_atom_site_occupancy
As1 0.000 0.000 0.000 1
Os1 0.000 0.500 0.255 1
Rh1 0.000 0.000 0.500 1
```

---

Cs2MgPtI6: relaxed, PBE-GGA.

Properties
Raw formation energy: -888.2 meV per atom

The structure in CIF format:
```
data_Cs2MgPtI6
_cell_length_a 8.292
_cell_length_b 8.292
_cell_length_c 12.662
_cell_angle_alpha 90.00
_cell_angle_beta 90.00
_cell_angle_gamma 90.00
_space_group_name_H-M_alt 'I 4/m m m'
_space_group_IT_number 139
_space_group_name_Hall '-I 4 2'
loop_
_atom_site_label
_atom_site_fract_x
_atom_site_fract_y
_atom_site_fract_z
_atom_site_occupancy
Cs1 0.000 0.500 0.250 1
Mg1 0.000 0.000 0.000 1
Pt1 0.000 0.000 0.500 1
I1 0.000 0.000 0.212 1
I2 0.226 0.226 0.500 1
```

---

PuThBi2: relaxed, PBE-GGA.

Properties
Formation energy: -413 meV/atom

The structure in CIF format:
```
data_PuThBi2
_cell_length_a 7.852
_cell_length_b 7.852
_cell_length_c 7.852
_cell_angle_alpha 90.00
_cell_angle_beta 90.00
_cell_angle_gamma 90.00
_space_group_name_H-M_alt 'F m -3 m'
_space_group_IT_number 225
_space_group_name_Hall '-F 4 2 3'
loop_
_atom_site_label
_atom_site_fract_x
_atom_site_fract_y
_atom_site_fract_z
_atom_site_occupancy
Pu1 0.000 0.000 0.000 1
Th1 0.000 0.000 0.500 1
Bi1 0.250 0.250 0.250 1
```

---

RbNdO2: relaxed, PBE-GGA.

Properties
Raw formation energy: -2554.7 meV per atom

The structure in CIF format:
```
data_RbNdO2
_cell_length_a 3.6708
_cell_length_b 3.6708
_cell_length_c 19.8463
_cell_angle_alpha 90.00
_cell_angle_beta 90.00
_cell_angle_gamma 120.00
_space_group_name_H-M_alt 'R -3 m'
_space_group_IT_number 166
_space_group_name_Hall '-R 3 2"'
loop_
_atom_site_label
_atom_site_fract_x
_atom_site_fract_y
_atom_site_fract_z
_atom_site_occupancy
Rb1 0.0000 0.0000 0.0000 1
Nd1 0.0000 0.0000 0.5000 1
O1 0.0000 0.0000 0.2269 1
```

---

NaSr2Zr: relaxed, PBE-GGA.

Properties
Formation energy: 619 meV/atom

The structure in CIF format:
```
data_NaSr2Zr
_cell_length_a 3.6188
_cell_length_b 3.6188
_cell_length_c 39.9030
_cell_angle_alpha 90.00
_cell_angle_beta 90.00
_cell_angle_gamma 120.00
_space_group_name_H-M_alt 'R -3 m'
_space_group_IT_number 166
_space_group_name_Hall '-R 3 2"'
loop_
_atom_site_label
_atom_site_fract_x
_atom_site_fract_y
_atom_site_fract_z
_atom_site_occupancy
Na1 0.0000 0.0000 0.0000 1
Sr1 0.0000 0.0000 0.4178 1
Zr1 0.0000 0.0000 0.5000 1
```

---

RbHfOsO6: relaxed, PBE-GGA.

Properties
Raw formation energy: -1943.2 meV per atom

The structure in CIF format:
```
data_RbHfOsO6
_cell_length_a 7.338
_cell_length_b 7.562
_cell_length_c 10.625
_cell_angle_alpha 90.00
_cell_angle_beta 90.00
_cell_angle_gamma 90.00
_space_group_name_H-M_alt 'I m m a'
_space_group_IT_number 74
_space_group_name_Hall '-I 2b 2'
loop_
_atom_site_label
_atom_site_fract_x
_atom_site_fract_y
_atom_site_fract_z
_atom_site_occupancy
Rb1 0.000 0.250 0.141 1
Hf1 0.000 0.000 0.500 1
Os1 0.250 0.250 0.750 1
O1 0.000 0.250 0.429 1
O2 0.000 0.250 0.801 1
O3 0.201 0.075 0.630 1
```

---

Pm2TlC2N6: relaxed, PBE-GGA.

Properties
Raw formation energy: -208.1 meV per atom

The structure in CIF format:
```
data_Pm2TlC2N6
_cell_length_a 6.104
_cell_length_b 6.119
_cell_length_c 6.299
_cell_angle_alpha 69.18
_cell_angle_beta 69.30
_cell_angle_gamma 61.84
_space_group_name_H-M_alt 'P -1'
_space_group_IT_number 2
loop_
_space_group_symop_operation_xyz
'x,y,z'
'-x,-y,-z'
loop_
_atom_site_label
_atom_site_fract_x
_atom_site_fract_y
_atom_site_fract_z
_atom_site_occupancy
Pm1 0.170 0.170 0.205 1
Tl1 0.500 0.500 0.500 1
C1 0.162 0.164 0.749 1
N1 0.029 0.388 0.813 1
N2 0.077 0.079 0.640 1
N3 0.387 0.031 0.812 1
```

---

CsBe2As2: relaxed, PBE-GGA.

Properties
Formation energy: -19 meV/atom

The structure in CIF format:
```
data_CsBe2As2
_cell_length_a 3.572
_cell_length_b 3.572
_cell_length_c 8.554
_cell_angle_alpha 90.00
_cell_angle_beta 90.00
_cell_angle_gamma 90.00
_space_group_name_H-M_alt 'P 4/m m m'
_space_group_IT_number 123
_space_group_name_Hall '-P 4 2'
loop_
_atom_site_label
_atom_site_fract_x
_atom_site_fract_y
_atom_site_fract_z
_atom_site_occupancy
Cs1 0.000 0.000 0.000 1
Be1 0.000 0.500 0.500 1
As1 0.500 0.500 0.317 1
```

---

AcLuIr2: relaxed, PBE-GGA.

Properties
Formation energy: -566 meV/atom

The structure in CIF format:
```
data_AcLuIr2
_cell_length_a 4.5524
_cell_length_b 4.5524
_cell_length_c 16.0385
_cell_angle_alpha 90.00
_cell_angle_beta 90.00
_cell_angle_gamma 120.00
_space_group_name_H-M_alt 'R -3 m'
_space_group_IT_number 166
_space_group_name_Hall '-R 3 2"'
loop_
_atom_site_label
_atom_site_fract_x
_atom_site_fract_y
_atom_site_fract_z
_atom_site_occupancy
Ac1 0.0000 0.0000 0.0000 1
Lu1 0.0000 0.0000 0.5000 1
Ir1 0.0000 0.0000 0.2192 1
```

---

Te2RhSe: relaxed, PBE-GGA.

Properties
Raw formation energy: -148.9 meV per atom

The structure in CIF format:
```
data_Te2RhSe
_cell_length_a 4.0363
_cell_length_b 4.0363
_cell_length_c 23.8820
_cell_angle_alpha 90.00
_cell_angle_beta 90.00
_cell_angle_gamma 120.00
_space_group_name_H-M_alt 'R -3 m'
_space_group_IT_number 166
_space_group_name_Hall '-R 3 2"'
loop_
_atom_site_label
_atom_site_fract_x
_atom_site_fract_y
_atom_site_fract_z
_atom_site_occupancy
Te1 0.0000 0.0000 0.1116 1
Rh1 0.0000 0.0000 0.5000 1
Se1 0.0000 0.0000 0.0000 1
```

---

Mg2TlI: relaxed, PBE-GGA.

Properties
Raw formation energy: 105.3 meV per atom

The structure in CIF format:
```
data_Mg2TlI
_cell_length_a 7.771
_cell_length_b 7.771
_cell_length_c 7.771
_cell_angle_alpha 90.00
_cell_angle_beta 90.00
_cell_angle_gamma 90.00
_space_group_name_H-M_alt 'F m -3 m'
_space_group_IT_number 225
_space_group_name_Hall '-F 4 2 3'
loop_
_atom_site_label
_atom_site_fract_x
_atom_site_fract_y
_atom_site_fract_z
_atom_site_occupancy
Mg1 0.250 0.250 0.250 1
Tl1 0.000 0.000 0.000 1
I1 0.000 0.000 0.500 1
```

---

AsIrAu2: relaxed, PBE-GGA.

Properties
Formation energy: 404 meV/atom

The structure in CIF format:
```
data_AsIrAu2
_cell_length_a 2.842
_cell_length_b 2.842
_cell_length_c 8.663
_cell_angle_alpha 90.00
_cell_angle_beta 90.00
_cell_angle_gamma 90.00
_space_group_name_H-M_alt 'P 4/m m m'
_space_group_IT_number 123
_space_group_name_Hall '-P 4 2'
loop_
_atom_site_label
_atom_site_fract_x
_atom_site_fract_y
_atom_site_fract_z
_atom_site_occupancy
As1 0.000 0.000 0.000 1
Ir1 0.000 0.000 0.500 1
Au1 0.500 0.500 0.264 1
```

---

LaErTcO6: relaxed, PBE-GGA.

Properties
Raw formation energy: -2533.5 meV per atom

The structure in CIF format:
```
data_LaErTcO6
_cell_length_a 5.4930
_cell_length_b 5.4930
_cell_length_c 5.1024
_cell_angle_alpha 90.00
_cell_angle_beta 90.00
_cell_angle_gamma 120.00
_space_group_name_H-M_alt 'P 3 1 2'
_space_group_IT_number 149
loop_
_space_group_symop_operation_xyz
'x,y,z'
'-y,x-y,z'
'-x+y,-x,z'
'-y,-x,-z'
'-x+y,y,-z'
'x,x-y,-z'
loop_
_atom_site_label
_atom_site_fract_x
_atom_site_fract_y
_atom_site_fract_z
_atom_site_occupancy
La1 0.0000 0.0000 0.0000 1
Er1 0.3333 0.6667 0.5000 1
Tc1 0.6667 0.3333 0.5000 1
O1 0.3773 0.0384 0.7159 1
```

---

PrMgHgPt: relaxed, PBE-GGA.

Properties
Formation energy: -637 meV/atom

The structure in CIF format:
```
data_PrMgHgPt
_cell_length_a 7.134
_cell_length_b 7.134
_cell_length_c 7.134
_cell_angle_alpha 90.00
_cell_angle_beta 90.00
_cell_angle_gamma 90.00
_space_group_name_H-M_alt 'F -4 3 m'
_space_group_IT_number 216
_space_group_name_Hall 'F -4 2 3'
loop_
_atom_site_label
_atom_site_fract_x
_atom_site_fract_y
_atom_site_fract_z
_atom_site_occupancy
Pr1 0.000 0.000 0.000 1
Mg1 0.000 0.000 0.500 1
Hg1 0.250 0.250 0.250 1
Pt1 0.250 0.250 0.750 1
```

---

Tl3In: relaxed, PBE-GGA.

Properties
Formation energy: 42 meV/atom

The structure in CIF format:
```
data_Tl3In
_cell_length_a 6.245
_cell_length_b 6.245
_cell_length_c 6.245
_cell_angle_alpha 90.00
_cell_angle_beta 90.00
_cell_angle_gamma 90.00
_space_group_name_H-M_alt 'P m -3 n'
_space_group_IT_number 223
_space_group_name_Hall '-P 4n 2 3'
loop_
_atom_site_label
_atom_site_fract_x
_atom_site_fract_y
_atom_site_fract_z
_atom_site_occupancy
Tl1 0.000 0.250 0.500 1
In1 0.000 0.000 0.000 1
```

---

K2Na2Hg: relaxed, PBE-GGA.

Properties
Formation energy: -59 meV/atom

The structure in CIF format:
```
data_K2Na2Hg
_cell_length_a 8.283
_cell_length_b 8.283
_cell_length_c 6.344
_cell_angle_alpha 90.00
_cell_angle_beta 90.00
_cell_angle_gamma 90.00
_space_group_name_H-M_alt 'P 4/m b m'
_space_group_IT_number 127
_space_group_name_Hall '-P 4 2ab'
loop_
_atom_site_label
_atom_site_fract_x
_atom_site_fract_y
_atom_site_fract_z
_atom_site_occupancy
K1 0.184 0.316 0.000 1
Na1 0.147 0.647 0.500 1
Hg1 0.000 0.000 0.500 1
```

---

Be2AsC: relaxed, PBE-GGA.

Properties
Formation energy: 1375 meV/atom

The structure in CIF format:
```
data_Be2AsC
_cell_length_a 5.579
_cell_length_b 5.579
_cell_length_c 5.579
_cell_angle_alpha 90.00
_cell_angle_beta 90.00
_cell_angle_gamma 90.00
_space_group_name_H-M_alt 'F m -3 m'
_space_group_IT_number 225
_space_group_name_Hall '-F 4 2 3'
loop_
_atom_site_label
_atom_site_fract_x
_atom_site_fract_y
_atom_site_fract_z
_atom_site_occupancy
Be1 0.250 0.250 0.250 1
As1 0.000 0.000 0.000 1
C1 0.000 0.000 0.500 1
```

---

CrInPb2: relaxed, PBE-GGA.

Properties
Formation energy: 378 meV/atom

The structure in CIF format:
```
data_CrInPb2
_cell_length_a 6.730
_cell_length_b 8.728
_cell_length_c 3.551
_cell_angle_alpha 90.00
_cell_angle_beta 90.00
_cell_angle_gamma 90.00
_space_group_name_H-M_alt 'C m m m'
_space_group_IT_number 65
_space_group_name_Hall '-C 2 2'
loop_
_atom_site_label
_atom_site_fract_x
_atom_site_fract_y
_atom_site_fract_z
_atom_site_occupancy
Cr1 0.000 0.000 0.000 1
In1 0.000 0.500 0.000 1
Pb1 0.250 0.250 0.500 1
```

---

NdDy2Ni: relaxed, PBE-GGA.

Properties
Formation energy: -177 meV/atom

The structure in CIF format:
```
data_NdDy2Ni
_cell_length_a 3.450
_cell_length_b 3.450
_cell_length_c 8.849
_cell_angle_alpha 90.00
_cell_angle_beta 90.00
_cell_angle_gamma 90.00
_space_group_name_H-M_alt 'P 4/m m m'
_space_group_IT_number 123
_space_group_name_Hall '-P 4 2'
loop_
_atom_site_label
_atom_site_fract_x
_atom_site_fract_y
_atom_site_fract_z
_atom_site_occupancy
Nd1 0.000 0.000 0.000 1
Dy1 0.500 0.500 0.319 1
Ni1 0.000 0.000 0.500 1
```

---

Pr4CuS2Cl: relaxed, PBE-GGA.

Properties
Raw formation energy: -1409.5 meV per atom

The structure in CIF format:
```
data_Pr4CuS2Cl
_cell_length_a 7.214
_cell_length_b 4.075
_cell_length_c 7.229
_cell_angle_alpha 90.00
_cell_angle_beta 108.81
_cell_angle_gamma 90.00
_space_group_name_H-M_alt 'P 1 2/m 1'
_space_group_IT_number 10
loop_
_space_group_symop_operation_xyz
'x,y,z'
'-x,-y,-z'
'-x,y,-z'
'x,-y,z'
loop_
_atom_site_label
_atom_site_fract_x
_atom_site_fract_y
_atom_site_fract_z
_atom_site_occupancy
Pr1 0.236 0.000 0.232 1
Pr2 0.248 0.500 0.755 1
Cu1 0.000 0.000 0.500 1
S1 0.000 0.500 0.000 1
S2 0.500 0.000 0.000 1
Cl1 0.500 0.500 0.500 1
```

---

MgW2Cl: relaxed, PBE-GGA.

Properties
Raw formation energy: 859.3 meV per atom

The structure in CIF format:
```
data_MgW2Cl
_cell_length_a 3.596
_cell_length_b 3.596
_cell_length_c 12.881
_cell_angle_alpha 90.00
_cell_angle_beta 90.00
_cell_angle_gamma 90.00
_space_group_name_H-M_alt 'I 4/m m m'
_space_group_IT_number 139
_space_group_name_Hall '-I 4 2'
loop_
_atom_site_label
_atom_site_fract_x
_atom_site_fract_y
_atom_site_fract_z
_atom_site_occupancy
Mg1 0.000 0.000 0.000 1
W1 0.000 0.500 0.250 1
Cl1 0.000 0.000 0.500 1
```

---

| no. | total magnetization (μB/cell) |
| --- | --- |
| 1 | 0.000 |
| 2 | 0.000 |
| 3 | 0.000 |
| 4 | 0.006 |
| 5 | 0.000 |
| 6 | 0.000 |
| 7 | 0.000 |
| 8 | 24.532 |
| 9 | 0.000 |
| 10 | 3.460 |
| 11 | 4.166 |
| 12 | 0.964 |
| 13 | 0.000 |
| 14 | 0.000 |
| 15 | 0.000 |
| 16 | 0.000 |
| 17 | 0.381 |
| 18 | 1.012 |
| 19 | 0.000 |
| 20 | 0.000 |
| 21 | 0.000 |
| 22 | 0.000 |
| 23 | 8.643 |
| 24 | 0.000 |
| 25 | 0.000 |
| 26 | 0.000 |